No. 1
5
Lattice="3.739 0.000 0.000 0.000 3.739 0.000 0.000 0.000 6.627" Properties=species:S:1:pos:R:3 comment="GGA-PBE TeAsSN2, optimized geometry" vol_a3_per_fu=93 formation_energy_uncorrected_ev_per_atom=1.254 n_ef_per_ev_fu=2.91 pbc="T T T"
As 0.000 0.000 0.000
Te 0.000 0.000 3.314
S 1.869 1.869 3.314
N 0.000 1.869 0.000
N 1.869 0.000 0.000



No. 2
5
Lattice="-3.629 1.645 -3.889 3.446 -1.810 -3.981 -1.584 -3.247 0.105" Properties=species:S:1:pos:R:3 comment="GGA-PBE Te2AsSN, optimized geometry" vol_a3_per_fu=112 formation_energy_uncorrected_ev_per_atom=1.033 n_ef_per_ev_fu=5.55 pbc="T T T"
As 0.000 0.000 0.000
Te 1.723 -0.905 -1.991
Te -1.815 0.822 -1.945
S -0.884 -1.706 -3.883
N -0.792 -1.624 0.052



No. 3
5
Lattice="3.970 0.000 0.000 0.000 3.970 0.000 0.000 0.000 5.249" Properties=species:S:1:pos:R:3 comment="GGA-PBE TeAsSN2, optimized geometry" vol_a3_per_fu=83 formation_energy_uncorrected_ev_per_atom=1.497 n_ef_per_ev_fu=1.74 pbc="T T T"
As 1.985 1.985 2.625
Te 0.000 0.000 0.000
S 0.000 0.000 2.625
N 0.000 1.985 0.000
N 1.985 0.000 0.000